1.
Computed, not measured: Na2BeBS4 after structural relaxation at the PBE level of DFT.

Computed properties:
The calculated volume comes out at 146.84 Å³/cell. The value obtained for the density is 2.19 g/cm³. The calculation puts the total energy at -4.43 eV per atom.

The structure in CIF format:
```
data_Na2BeBS4
_chemical_formula_sum 'Na2 Be1 B1 S4'
_cell_length_a 5.423
_cell_length_b 5.969
_cell_length_c 5.980
_cell_angle_alpha 117.95
_cell_angle_beta 115.13
_cell_angle_gamma 93.12
_space_group_name_H-M_alt 'P 1'
_space_group_IT_number 1
loop_
_space_group_symop_operation_xyz
'x,y,z'
loop_
_atom_site_label
_atom_site_fract_x
_atom_site_fract_y
_atom_site_fract_z
Na1 0.000 0.000 0.000
Na2 0.259 0.747 0.494
Be1 0.728 0.202 0.460
B1 0.517 0.496 0.039
S1 0.111 0.506 0.818
S2 0.549 0.194 0.070
S3 0.566 0.472 0.734
S4 0.734 0.834 0.405
```

---

2.
Computed, not measured: DyPu2Rh3 after structural relaxation at the PBE level of DFT.

Computed properties:
The calculated volume comes out at 120.68 Å³/cell. The value obtained for the density is 13.20 g/cm³. The calculation puts the formation energy at -3.32 eV/f.u. The calculation puts the total energy at -9.77 eV per atom.

The structure in CIF format:
```
data_DyPu2Rh3
_chemical_formula_sum 'Dy1 Pu2 Rh3'
_cell_length_a 3.419
_cell_length_b 3.419
_cell_length_c 10.322
_cell_angle_alpha 90.00
_cell_angle_beta 90.00
_cell_angle_gamma 90.00
_space_group_name_H-M_alt 'P 4/m m m'
_space_group_IT_number 123
_space_group_name_Hall '-P 4 2'
loop_
_atom_site_label
_atom_site_fract_x
_atom_site_fract_y
_atom_site_fract_z
Dy1 0.000 0.000 0.000
Pu1 0.000 0.000 0.335
Rh1 0.500 0.500 0.166
Rh2 0.500 0.500 0.500
```

---

3.
Computed, not measured: La5Y4Sc after structural relaxation at the PBE level of DFT.

Computed properties:
The calculated volume comes out at 338.42 Å³/cell. The value obtained for the density is 5.37 g/cm³. The calculation puts the formation energy at 0.32 eV/f.u. The calculation puts the total energy at -5.65 eV per atom.

The structure in CIF format:
```
data_La5Y4Sc
_chemical_formula_sum 'La5 Y4 Sc1'
_cell_length_a 3.728
_cell_length_b 3.728
_cell_length_c 24.354
_cell_angle_alpha 90.00
_cell_angle_beta 90.00
_cell_angle_gamma 90.00
_space_group_name_H-M_alt 'P 4/m m m'
_space_group_IT_number 123
_space_group_name_Hall '-P 4 2'
loop_
_atom_site_label
_atom_site_fract_x
_atom_site_fract_y
_atom_site_fract_z
La1 0.000 0.000 0.000
La2 0.000 0.000 0.205
La3 0.000 0.000 0.409
Y1 0.500 0.500 0.103
Y2 0.500 0.500 0.307
Sc1 0.500 0.500 0.500
```

---

4.
Computed, not measured: SrBeSCl2 after structural relaxation at the PBE level of DFT.

Computed properties:
The calculated volume comes out at 180.40 Å³/cell. The value obtained for the density is 1.84 g/cm³. The calculation puts the total energy at -2.86 eV per atom.

The structure in CIF format:
```
data_SrBeSCl2
_chemical_formula_sum 'Sr1 Be1 S1 Cl2'
_cell_length_a 5.519
_cell_length_b 5.519
_cell_length_c 5.923
_cell_angle_alpha 90.00
_cell_angle_beta 90.00
_cell_angle_gamma 90.00
_space_group_name_H-M_alt 'P 4/m m m'
_space_group_IT_number 123
_space_group_name_Hall '-P 4 2'
loop_
_atom_site_label
_atom_site_fract_x
_atom_site_fract_y
_atom_site_fract_z
Sr1 0.000 0.000 0.000
Be1 0.500 0.500 0.500
S1 0.000 0.000 0.500
Cl1 0.000 0.500 0.000
```

---

5.
Computed, not measured: Sm2Y2HoMg2 after structural relaxation at the PBE level of DFT.

Computed properties:
The calculated volume comes out at 628.04 Å³/cell. The value obtained for the density is 5.49 g/cm³. The calculation puts the formation energy at -0.16 eV/f.u. The calculation puts the total energy at -4.33 eV per atom.

The structure in CIF format:
```
data_Sm2Y2HoMg2
_chemical_formula_sum 'Sm6 Y6 Ho3 Mg6'
_cell_length_a 5.4703
_cell_length_b 5.4703
_cell_length_c 24.2343
_cell_angle_alpha 90.00
_cell_angle_beta 90.00
_cell_angle_gamma 120.00
_space_group_name_H-M_alt 'R -3 m'
_space_group_IT_number 166
_space_group_name_Hall '-R 3 2"'
loop_
_atom_site_label
_atom_site_fract_x
_atom_site_fract_y
_atom_site_fract_z
Sm1 0.0000 0.0000 0.1555
Y1 0.0000 0.0000 0.4255
Ho1 0.0000 0.0000 0.0000
Mg1 0.0000 0.0000 0.2900
```

---

6.
Computed, not measured: DyErGeRu after structural relaxation at the PBE level of DFT.

Computed properties:
The calculated volume comes out at 175.63 Å³/cell. The value obtained for the density is 9.52 g/cm³. The calculation puts the formation energy at -2.55 eV/f.u. The calculation puts the total energy at -6.40 eV per atom.

The structure in CIF format:
```
data_DyErGeRu
_chemical_formula_sum 'Dy2 Er2 Ge2 Ru2'
_cell_length_a 3.845
_cell_length_b 4.220
_cell_length_c 10.822
_cell_angle_alpha 90.00
_cell_angle_beta 90.00
_cell_angle_gamma 90.00
_space_group_name_H-M_alt 'A m m 2'
_space_group_IT_number 38
loop_
_space_group_symop_operation_xyz
'x,y,z'
'-x,-y,z'
'-x,y,z'
'x,-y,z'
'x,y+1/2,z+1/2'
'-x,-y+1/2,z+1/2'
'-x,y+1/2,z+1/2'
'x,-y+1/2,z+1/2'
loop_
_atom_site_label
_atom_site_fract_x
_atom_site_fract_y
_atom_site_fract_z
Dy1 0.000 0.000 0.000
Er1 0.500 0.000 0.718
Ge1 0.500 0.000 0.422
Ru1 0.000 0.000 0.268
```

---

7.
Computed, not measured: Cs2SmCl5 after structural relaxation at the PBE level of DFT.

Computed properties:
The calculated volume comes out at 1514.34 Å³/cell. The value obtained for the density is 2.60 g/cm³. The calculation puts the total energy at -4.11 eV per atom.

The structure in CIF format:
```
data_Cs2SmCl5
_chemical_formula_sum 'Cs8 Sm4 Cl20'
_cell_length_a 5.553
_cell_length_b 17.694
_cell_length_c 15.412
_cell_angle_alpha 90.00
_cell_angle_beta 90.00
_cell_angle_gamma 90.00
_space_group_name_H-M_alt 'C m c m'
_space_group_IT_number 63
_space_group_name_Hall '-C 2c 2'
loop_
_atom_site_label
_atom_site_fract_x
_atom_site_fract_y
_atom_site_fract_z
Cs1 0.000 0.139 0.067
Sm1 0.000 0.154 0.750
Cl1 0.000 0.047 0.629
Cl2 0.000 0.260 0.620
Cl3 0.000 0.328 0.250
```

---

8.
Computed, not measured: Sr3Sb after structural relaxation at the PBE level of DFT.

Computed properties:
The calculated volume comes out at 311.91 Å³/cell. The value obtained for the density is 4.10 g/cm³. The calculation puts the total energy at -2.69 eV per atom.

The structure in CIF format:
```
data_Sr3Sb
_chemical_formula_sum 'Sr6 Sb2'
_cell_length_a 5.186
_cell_length_b 5.186
_cell_length_c 11.597
_cell_angle_alpha 90.00
_cell_angle_beta 90.00
_cell_angle_gamma 90.00
_space_group_name_H-M_alt 'I 4/m m m'
_space_group_IT_number 139
_space_group_name_Hall '-I 4 2'
loop_
_atom_site_label
_atom_site_fract_x
_atom_site_fract_y
_atom_site_fract_z
Sr1 0.000 0.000 0.000
Sr2 0.000 0.500 0.250
Sb1 0.000 0.000 0.500
```

---

9.
Computed, not measured: Ca2Ge3Pd5 after structural relaxation at the PBE level of DFT.

Computed properties:
The calculated volume comes out at 721.55 Å³/cell. The value obtained for the density is 7.64 g/cm³. The calculation puts the formation energy at -6.66 eV/f.u. The calculation puts the total energy at -5.05 eV per atom.

The structure in CIF format:
```
data_Ca2Ge3Pd5
_chemical_formula_sum 'Ca8 Ge12 Pd20'
_cell_length_a 4.279
_cell_length_b 24.705
_cell_length_c 6.826
_cell_angle_alpha 90.00
_cell_angle_beta 90.00
_cell_angle_gamma 90.00
_space_group_name_H-M_alt 'C m c 21'
_space_group_IT_number 36
loop_
_space_group_symop_operation_xyz
'x,y,z'
'-x,-y,z+1/2'
'-x,y,z'
'x,-y,z+1/2'
'x+1/2,y+1/2,z'
'-x+1/2,-y+1/2,z+1/2'
'-x+1/2,y+1/2,z'
'x+1/2,-y+1/2,z+1/2'
loop_
_atom_site_label
_atom_site_fract_x
_atom_site_fract_y
_atom_site_fract_z
Ca1 0.000 0.022 0.000
Ca2 0.000 0.325 0.958
Ge1 0.000 0.118 0.761
Ge2 0.000 0.275 0.423
Ge3 0.000 0.452 0.793
Pd1 0.000 0.096 0.384
Pd2 0.000 0.201 0.143
Pd3 0.000 0.220 0.725
Pd4 0.000 0.377 0.519
Pd5 0.000 0.442 0.169
```

---

10.
Computed, not measured: AlHgSe2Br after structural relaxation at the PBE level of DFT.

Computed properties:
The calculated volume comes out at 126.39 Å³/cell. The value obtained for the density is 6.11 g/cm³. The calculation puts the total energy at -2.63 eV per atom.

The structure in CIF format:
```
data_AlHgSe2Br
_chemical_formula_sum 'Al1 Hg1 Se2 Br1'
_cell_length_a 5.034
_cell_length_b 5.034
_cell_length_c 4.987
_cell_angle_alpha 90.00
_cell_angle_beta 90.00
_cell_angle_gamma 90.00
_space_group_name_H-M_alt 'P 4/m m m'
_space_group_IT_number 123
_space_group_name_Hall '-P 4 2'
loop_
_atom_site_label
_atom_site_fract_x
_atom_site_fract_y
_atom_site_fract_z
Al1 0.000 0.000 0.000
Hg1 0.500 0.500 0.500
Se1 0.000 0.500 0.000
Br1 0.000 0.000 0.500
```